A plane-wave DFT calculation with PBE-GGA was carried out for crystalline Cs3Na at its relaxed geometry.

Summary:
Energy of formation from the pure elements ... 52 meV per atom
Calculated volume ... 815.2 Å³ per cell

abc: 9.452 9.452 10.468
angles: 98.60 98.60 114.85
Fractional positions:
Cs: 0.073 0.410 0.747
Cs: 0.211 0.211 0.189
Cs: 0.410 0.073 0.747
Cs: 0.590 0.927 0.253
Cs: 0.789 0.789 0.811
Cs: 0.927 0.590 0.253
Na: 0.381 0.619 0.500
Na: 0.619 0.381 0.500